1.
! TlFe2Cl8 (PBE, relaxed); values from VASP
&SYSTEM
  ibrav = 0, nat = 11, ntyp = 3
/
ATOMIC_SPECIES
Tl 204.38 Tl.upf
Fe 55.84 Fe.upf
Cl 35.45 Cl.upf
ATOMIC_POSITIONS angstrom
Tl 0.000 0.000 0.000
Fe 1.830 0.000 4.229
Fe 9.808 0.000 2.241
Cl 4.670 2.418 1.482
Cl 1.960 0.000 2.015
Cl 6.967 2.418 4.987
Cl 3.836 0.000 4.978
Cl 7.801 0.000 1.492
Cl 4.670 -2.418 1.482
Cl 9.677 0.000 4.455
Cl 6.967 -2.418 4.987
CELL_PARAMETERS angstrom
6.369 -4.118 0.000
6.369 4.118 0.000
-1.100 0.000 6.470
! * total magnetization: 9.003 μB/cell
! * energy: -3.823 eV/atom

***

2.
! Rb2Ir (PBE, relaxed); values from VASP
&SYSTEM
  ibrav = 0, nat = 3, ntyp = 2
/
ATOMIC_SPECIES
Rb 85.47 Rb.upf
Ir 192.22 Ir.upf
ATOMIC_POSITIONS angstrom
Rb 2.005 2.005 2.005
Rb 6.014 6.014 6.014
Ir 0.000 0.000 0.000
CELL_PARAMETERS angstrom
0.000 4.010 4.010
4.010 0.000 4.010
4.010 4.010 0.000
! * total magnetization: 1.000 μB/cell
! * energy: -2.573 eV/atom

***

3.
! HfNbFeCu (PBE, relaxed); values from VASP
&SYSTEM
  ibrav = 0, nat = 4, ntyp = 4
/
ATOMIC_SPECIES
Hf 178.49 Hf.upf
Nb 92.91 Nb.upf
Fe 55.84 Fe.upf
Cu 63.55 Cu.upf
ATOMIC_POSITIONS angstrom
Hf 0.000 0.000 0.000
Nb 3.138 3.138 3.138
Fe 4.708 4.708 4.708
Cu 1.569 1.569 1.569
CELL_PARAMETERS angstrom
0.000 3.138 3.138
3.138 0.000 3.138
3.138 3.138 0.000
! * DFT formation energy: -40 meV per atom
! * total magnetization: 0.394 μB/cell
! * energy: -8.058 eV/atom

***

4.
! HfSbPW (PBE, relaxed); values from VASP
&SYSTEM
  ibrav = 0, nat = 8, ntyp = 4
/
ATOMIC_SPECIES
Hf 178.49 Hf.upf
Sb 121.76 Sb.upf
P 30.97 P.upf
W 183.84 W.upf
ATOMIC_POSITIONS angstrom
Hf 0.000 0.000 1.943
Hf 0.000 0.000 10.127
Sb 0.000 0.000 6.035
Sb 0.000 2.220 0.000
P 1.923 1.110 3.311
P 1.923 1.110 8.759
W 0.000 2.220 4.216
W 0.000 2.220 7.855
CELL_PARAMETERS angstrom
3.846 0.000 0.000
-1.923 3.331 0.000
0.000 0.000 12.070
! * total magnetization: 0.828 μB/cell
! * energy: -8.442 eV/atom

***

5.
! Ho2CBrF (PBE, relaxed); values from VASP
&SYSTEM
  ibrav = 0, nat = 5, ntyp = 4
/
ATOMIC_SPECIES
Ho 164.93 Ho.upf
C 12.01 C.upf
Br 79.90 Br.upf
F 19.00 F.upf
ATOMIC_POSITIONS angstrom
Ho 0.000 0.000 0.000
Ho 0.000 2.103 5.706
C 1.821 1.051 6.974
Br 0.000 0.000 3.691
F 0.000 2.103 0.998
CELL_PARAMETERS angstrom
3.642 0.000 0.000
-1.821 3.154 0.000
0.000 0.000 8.381
! * total magnetization: 0.005 μB/cell
! * energy: -6.235 eV/atom

***

6.
! RbTbSO (PBE, relaxed); values from VASP
&SYSTEM
  ibrav = 0, nat = 16, ntyp = 4
/
ATOMIC_SPECIES
Rb 85.47 Rb.upf
Tb 158.93 Tb.upf
S 32.06 S.upf
O 16.00 O.upf
ATOMIC_POSITIONS angstrom
Rb 0.621 1.790 0.043
Rb -0.189 1.901 3.218
Rb 6.413 5.481 3.132
Rb 5.603 5.593 6.306
Tb 3.294 4.631 1.730
Tb 2.485 6.443 4.905
Tb 3.739 0.940 1.445
Tb 2.930 2.751 4.620
S 0.669 4.376 5.401
S 1.478 6.698 2.226
S 4.746 0.685 4.123
S 5.555 3.006 0.949
O 1.688 1.078 5.577
O 2.497 2.614 2.402
O 3.727 4.769 3.948
O 4.536 6.305 0.773
CELL_PARAMETERS angstrom
7.843 0.000 0.000
0.000 7.382 0.000
-1.619 0.000 6.350
! * total magnetization: 0.004 μB/cell
! * energy: -5.940 eV/atom

***

7.
! LaErGe4Os2 (PBE, relaxed); values from VASP
&SYSTEM
  ibrav = 0, nat = 8, ntyp = 4
/
ATOMIC_SPECIES
La 138.91 La.upf
Er 167.26 Er.upf
Ge 72.64 Ge.upf
Os 190.23 Os.upf
ATOMIC_POSITIONS angstrom
La 0.000 0.000 0.000
Er 2.328 2.217 4.736
Ge -0.272 2.217 2.458
Ge 0.134 0.000 5.756
Ge 0.140 2.217 7.207
Ge 2.647 0.000 2.430
Os 0.444 0.000 3.384
Os 1.940 2.217 1.483
CELL_PARAMETERS angstrom
4.521 0.000 0.000
0.000 4.434 0.000
-2.079 0.000 8.152
! * total magnetization: 0.009 μB/cell
! * energy: -6.787 eV/atom

***

8.
! CsPtO3 (PBE, relaxed); values from VASP
&SYSTEM
  ibrav = 0, nat = 10, ntyp = 3
/
ATOMIC_SPECIES
Cs 132.91 Cs.upf
Pt 195.08 Pt.upf
O 16.00 O.upf
ATOMIC_POSITIONS angstrom
Cs 0.000 0.000 2.687
Cs 0.000 0.000 17.857
Pt 0.000 0.000 6.855
Pt 0.000 0.000 13.689
O -1.083 -1.305 7.945
O -1.672 0.286 12.599
O -0.588 1.590 7.945
O 0.588 -1.590 12.599
O 1.672 -0.286 7.945
O 1.083 1.305 12.599
CELL_PARAMETERS angstrom
2.744 1.584 6.848
-2.744 1.584 6.848
0.000 -3.168 6.848
! * total magnetization: 0.000 μB/cell
! * energy: -5.098 eV/atom

***

9.
! LaTlAu2 (PBE, relaxed); values from VASP
&SYSTEM
  ibrav = 0, nat = 4, ntyp = 3
/
ATOMIC_SPECIES
La 138.91 La.upf
Tl 204.38 Tl.upf
Au 196.97 Au.upf
ATOMIC_POSITIONS angstrom
La 0.000 0.000 0.000
Tl 0.000 0.000 3.633
Au 2.583 0.000 1.816
Au 0.000 2.583 1.816
CELL_PARAMETERS angstrom
-2.583 2.583 3.633
2.583 -2.583 3.633
2.583 2.583 -3.633
! * total magnetization: 0.000 μB/cell
! * energy: -4.070 eV/atom

***

10.
! Tb2Ir2O5 (PBE, relaxed); values from VASP
&SYSTEM
  ibrav = 0, nat = 9, ntyp = 3
/
ATOMIC_SPECIES
Tb 158.93 Tb.upf
Ir 192.22 Ir.upf
O 16.00 O.upf
ATOMIC_POSITIONS angstrom
Tb 0.000 0.000 2.179
Tb 0.000 0.000 7.115
Ir 1.802 1.802 0.000
Ir 1.802 1.802 4.647
O 0.000 0.000 0.000
O 0.000 1.802 3.476
O 0.000 1.802 5.818
O 1.802 0.000 3.476
O 1.802 0.000 5.818
CELL_PARAMETERS angstrom
3.603 0.000 0.000
0.000 3.603 0.000
0.000 0.000 9.294
! * total magnetization: 0.573 μB/cell
! * energy: -7.137 eV/atom

***

11.
! CsTmNiTe3 (PBE, relaxed); values from VASP
&SYSTEM
  ibrav = 0, nat = 12, ntyp = 4
/
ATOMIC_SPECIES
Cs 132.91 Cs.upf
Tm 168.93 Tm.upf
Ni 58.69 Ni.upf
Te 127.60 Te.upf
ATOMIC_POSITIONS angstrom
Cs 2.667 0.000 0.931
Cs 14.409 0.000 9.433
Tm 2.716 0.000 6.081
Tm 14.360 0.000 4.283
Ni 8.417 0.000 6.495
Ni 8.659 0.000 3.869
Te -0.036 0.000 5.182
Te 5.705 0.000 6.442
Te 6.605 0.000 2.343
Te 8.574 0.000 0.000
Te 10.472 0.000 8.021
Te 11.372 0.000 3.923
CELL_PARAMETERS angstrom
8.574 -2.262 0.000
8.574 2.262 0.000
-0.072 0.000 10.364
! * total magnetization: 0.677 μB/cell
! * energy: -4.124 eV/atom

***

12.
! Y2Co2SnGeC (PBE, relaxed); values from VASP
&SYSTEM
  ibrav = 0, nat = 7, ntyp = 5
/
ATOMIC_SPECIES
Y 88.91 Y.upf
Co 58.93 Co.upf
Sn 118.71 Sn.upf
Ge 72.64 Ge.upf
C 12.01 C.upf
ATOMIC_POSITIONS angstrom
Y 0.000 0.000 0.000
Y -1.211 0.000 3.140
Co 3.227 0.000 1.261
Co 6.626 0.000 2.128
Sn 3.653 0.000 5.465
Ge 1.803 0.000 3.214
C 4.946 0.000 1.632
CELL_PARAMETERS angstrom
5.529 -2.001 0.000
5.529 2.001 0.000
-4.333 0.000 5.518
! * total magnetization: 0.022 μB/cell
! * energy: -6.953 eV/atom

***

13.
! Gd5Fe2B6 (PBE, relaxed); values from VASP
&SYSTEM
  ibrav = 0, nat = 13, ntyp = 3
/
ATOMIC_SPECIES
Gd 157.25 Gd.upf
Fe 55.84 Fe.upf
B 10.81 B.upf
ATOMIC_POSITIONS angstrom
Gd 0.000 0.000 0.000
Gd 0.000 0.000 5.850
Gd 0.000 0.000 9.676
Gd 0.000 0.000 13.567
Gd 0.000 0.000 17.393
Fe 0.000 0.000 2.761
Fe 0.000 0.000 20.482
B -0.902 -1.563 11.622
B -1.805 0.000 11.622
B 0.902 -1.563 11.622
B -0.902 1.563 11.622
B 1.805 0.000 11.622
B 0.902 1.563 11.622
CELL_PARAMETERS angstrom
2.713 1.566 7.748
-2.713 1.566 7.748
0.000 -3.133 7.748
! * total magnetization: 0.314 μB/cell
! * energy: -6.626 eV/atom

***

14.
! PrInHgTe3 (PBE, relaxed); values from VASP
&SYSTEM
  ibrav = 0, nat = 24, ntyp = 4
/
ATOMIC_SPECIES
Pr 140.91 Pr.upf
In 114.82 In.upf
Hg 200.59 Hg.upf
Te 127.60 Te.upf
ATOMIC_POSITIONS angstrom
Pr 0.355 1.174 2.514
Pr 6.045 3.521 9.161
Pr 6.755 1.174 4.133
Pr 12.446 3.521 10.780
In 2.349 1.174 6.521
In 4.051 3.521 13.168
In 8.749 1.174 0.126
In 10.451 3.521 6.772
Hg 3.113 3.521 3.962
Hg 3.288 1.174 10.609
Hg 9.513 3.521 2.685
Hg 9.688 1.174 9.331
Te 0.394 3.521 4.785
Te 1.129 1.174 12.463
Te 2.791 3.521 8.956
Te 3.609 1.174 2.309
Te 5.271 3.521 5.816
Te 6.007 1.174 11.431
Te 6.794 3.521 1.862
Te 7.530 1.174 7.478
Te 9.191 3.521 10.985
Te 10.009 1.174 4.338
Te 11.671 3.521 0.831
Te 12.407 1.174 8.509
CELL_PARAMETERS angstrom
12.800 0.000 0.000
0.000 4.695 0.000
0.000 0.000 13.294
! * total magnetization: 0.002 μB/cell
! * energy: -3.528 eV/atom

***

15.
! YNb2P2 (PBE, relaxed); values from VASP
&SYSTEM
  ibrav = 0, nat = 10, ntyp = 3
/
ATOMIC_SPECIES
Y 88.91 Y.upf
Nb 92.91 Nb.upf
P 30.97 P.upf
ATOMIC_POSITIONS angstrom
Y 0.000 0.000 0.000
Y 0.000 0.000 8.457
Nb 0.000 2.163 2.933
Nb 0.000 2.163 5.524
Nb 1.873 1.082 11.390
Nb 1.873 1.082 13.981
P 0.000 2.163 10.206
P 0.000 2.163 15.165
P 1.873 1.082 1.749
P 1.873 1.082 6.708
CELL_PARAMETERS angstrom
3.746 0.000 0.000
-1.873 3.245 0.000
0.000 0.000 16.914
! * total magnetization: 0.062 μB/cell
! * energy: -8.103 eV/atom

***

16.
! GdBiNO (PBE, relaxed); values from VASP
&SYSTEM
  ibrav = 0, nat = 8, ntyp = 4
/
ATOMIC_SPECIES
Gd 157.25 Gd.upf
Bi 208.98 Bi.upf
N 14.01 N.upf
O 16.00 O.upf
ATOMIC_POSITIONS angstrom
Gd -0.037 1.148 1.187
Gd -0.111 8.568 3.560
Bi -0.111 3.440 3.560
Bi -0.037 6.277 1.187
N -0.111 1.190 3.560
N -0.037 8.527 1.187
O -0.037 3.327 1.187
O -0.111 6.390 3.560
CELL_PARAMETERS angstrom
3.553 0.000 0.000
0.000 9.717 0.000
-0.148 0.000 4.747
! * total magnetization: 0.022 μB/cell
! * energy: -6.277 eV/atom

***

17.
! SmErTl (PBE, relaxed); values from VASP
&SYSTEM
  ibrav = 0, nat = 3, ntyp = 3
/
ATOMIC_SPECIES
Sm 150.36 Sm.upf
Er 167.26 Er.upf
Tl 204.38 Tl.upf
ATOMIC_POSITIONS angstrom
Sm 0.000 0.000 0.000
Er 3.671 3.671 3.671
Tl 5.507 5.507 5.507
CELL_PARAMETERS angstrom
0.000 3.671 3.671
3.671 0.000 3.671
3.671 3.671 0.000
! * total magnetization: 0.129 μB/cell
! * energy: -3.915 eV/atom

***

18.
! Lu2ReIr3 (PBE, relaxed); values from VASP
&SYSTEM
  ibrav = 0, nat = 12, ntyp = 3
/
ATOMIC_SPECIES
Lu 174.97 Lu.upf
Re 186.21 Re.upf
Ir 192.22 Ir.upf
ATOMIC_POSITIONS angstrom
Lu 0.000 3.122 0.531
Lu 0.000 3.122 3.658
Lu 2.704 1.561 4.721
Lu 2.704 1.561 7.848
Re 0.000 0.000 0.000
Re 0.000 0.000 4.190
Ir 0.000 1.598 6.285
Ir -1.320 3.884 6.285
Ir 1.384 0.799 2.095
Ir 1.320 3.884 6.285
Ir 4.024 0.799 2.095
Ir 2.704 3.085 2.095
CELL_PARAMETERS angstrom
5.408 0.000 0.000
-2.704 4.683 0.000
0.000 0.000 8.379
! * DFT formation energy: -739 meV per atom
! * total magnetization: 0.008 μB/cell
! * energy: -8.745 eV/atom

***

19.
! NaYSiPd (PBE, relaxed); values from VASP
&SYSTEM
  ibrav = 0, nat = 4, ntyp = 4
/
ATOMIC_SPECIES
Na 22.99 Na.upf
Y 88.91 Y.upf
Si 28.09 Si.upf
Pd 106.42 Pd.upf
ATOMIC_POSITIONS angstrom
Na 0.000 0.000 0.000
Y 4.985 4.985 4.985
Si 1.662 1.662 1.662
Pd 3.323 3.323 3.323
CELL_PARAMETERS angstrom
0.000 3.323 3.323
3.323 0.000 3.323
3.323 3.323 0.000
! * total magnetization: 0.000 μB/cell
! * energy: -5.010 eV/atom

***

20.
! LuSbPd2 (PBE, relaxed); values from VASP
&SYSTEM
  ibrav = 0, nat = 8, ntyp = 3
/
ATOMIC_SPECIES
Lu 174.97 Lu.upf
Sb 121.76 Sb.upf
Pd 106.42 Pd.upf
ATOMIC_POSITIONS angstrom
Lu 0.000 2.618 2.222
Lu 2.267 1.309 6.665
Sb 0.000 0.000 0.000
Sb 0.000 0.000 4.443
Pd 0.000 2.618 5.248
Pd 0.000 2.618 8.083
Pd 2.267 1.309 0.804
Pd 2.267 1.309 3.639
CELL_PARAMETERS angstrom
4.534 0.000 0.000
-2.267 3.927 0.000
0.000 0.000 8.887
! * total magnetization: 0.003 μB/cell
! * energy: -5.627 eV/atom